The following is a PBE calculation of a relaxed structure of NaCa3N, from the Alexandria database.

```
NaCa3N
1.0
-2.961 4.105 -0.541
-3.193 -1.840 3.511
2.635 2.382 3.645
Ca N Na
3 1 1
direct
0.500 0.000 0.000
0.000 0.000 0.500
0.000 0.500 0.000
0.000 0.000 0.000
0.500 0.500 0.500
```

The formation energy (no corrections) comes out at -335 meV per atom. Its total energy is -3.46 eV per atom.